(1)
# AcErSnRh, relaxed, DFT PBE-GGA
# **Density**: 9.6 Mg/m³
# **E_tot**: -5.491 eV per atom
# **N(E_F)**: 0.83 states/eV per atom
# **ΔH_f (0 K)**: -1.940 eV/f.u.
# **Volume**: 26.65 Å³/atom
# **Crystal system**: cubic
data_AcErSnRh
_space_group_name_H-M_alt 'F -4 3 m'
_space_group_IT_number 216
_space_group_name_Hall 'F -4 2 3'
_cell_length_a 7.527
_cell_length_b 7.527
_cell_length_c 7.527
_cell_angle_alpha 90.00
_cell_angle_beta 90.00
_cell_angle_gamma 90.00
loop_
_atom_site_label
_atom_site_type_symbol
_atom_site_fract_x
_atom_site_fract_y
_atom_site_fract_z
_atom_site_occupancy
Ac1 Ac 0.000 0.000 0.000 1
Er1 Er 0.000 0.000 0.500 1
Sn1 Sn 0.250 0.250 0.750 1
Rh1 Rh 0.250 0.250 0.250 1


(2)
# YZrHg4, relaxed, DFT PBE-GGA
# **Density**: 11.7 Mg/m³
# **E_tot**: -2.910 eV per atom
# **N(E_F)**: 0.47 states/eV per atom
# **ΔH_f (0 K)**: -1.242 eV/f.u.
# **Volume**: 23.22 Å³/atom
# **Crystal system**: tetragonal
# **ΔE to the lowest computed polymorph**: 0.0 meV/atom
data_YZrHg4
_space_group_name_H-M_alt 'P 4/m m m'
_space_group_IT_number 123
_space_group_name_Hall '-P 4 2'
_cell_length_a 3.388
_cell_length_b 3.388
_cell_length_c 12.140
_cell_angle_alpha 90.00
_cell_angle_beta 90.00
_cell_angle_gamma 90.00
loop_
_atom_site_label
_atom_site_type_symbol
_atom_site_fract_x
_atom_site_fract_y
_atom_site_fract_z
_atom_site_occupancy
Y1 Y 0.000 0.000 0.000 1
Zr1 Zr 0.500 0.500 0.500 1
Hg1 Hg 0.000 0.000 0.341 1
Hg2 Hg 0.500 0.500 0.172 1


(3)
# RbInSi, relaxed, DFT PBE-GGA
# **Density**: 3.6 Mg/m³
# **E_tot**: -2.823 eV per atom
# **N(E_F)**: 0.00 states/eV per atom
# **E_form (uncorrected)**: 0.66 eV per formula unit
# **Volume**: 35.52 Å³/atom
# **Crystal system**: orthorhombic
data_RbInSi
_space_group_name_H-M_alt 'C m m e'
_space_group_IT_number 67
_space_group_name_Hall '-C 2a 2'
_cell_length_a 7.513
_cell_length_b 12.517
_cell_length_c 4.533
_cell_angle_alpha 90.00
_cell_angle_beta 90.00
_cell_angle_gamma 90.00
loop_
_atom_site_label
_atom_site_type_symbol
_atom_site_fract_x
_atom_site_fract_y
_atom_site_fract_z
_atom_site_occupancy
Rb1 Rb 0.250 0.000 0.000 1
In1 In 0.250 0.250 0.500 1
Si1 Si 0.000 0.250 0.104 1


(4)
# LaAlAu3, relaxed, DFT PBE-GGA
# **Density**: 10.6 Mg/m³
# **E_tot**: -4.178 eV per atom
# **N(E_F)**: 0.51 states/eV per atom
# **ΔH_f (0 K)**: -2.385 eV/f.u.
# **Volume**: 23.65 Å³/atom
# **Crystal system**: cubic
# **ΔE to the lowest computed polymorph**: 201.0 meV/atom
data_LaAlAu3
_space_group_name_H-M_alt 'P m -3 m'
_space_group_IT_number 221
_space_group_name_Hall '-P 4 2 3'
_cell_length_a 4.908
_cell_length_b 4.908
_cell_length_c 4.908
_cell_angle_alpha 90.00
_cell_angle_beta 90.00
_cell_angle_gamma 90.00
loop_
_atom_site_label
_atom_site_type_symbol
_atom_site_fract_x
_atom_site_fract_y
_atom_site_fract_z
_atom_site_occupancy
La1 La 0.000 0.000 0.000 1
Al1 Al 0.500 0.500 0.500 1
Au1 Au 0.000 0.500 0.500 1


(5)
# Pu3Si2Pd, relaxed, DFT PBE-GGA
# **Density**: 12.5 Mg/m³
# **E_tot**: -10.221 eV per atom
# **N(E_F)**: 3.05 states/eV per atom
# **E_form (uncorrected)**: -2.29 eV per formula unit
# **Volume**: 19.81 Å³/atom
# **Crystal system**: monoclinic
# **ΔE to the lowest computed polymorph**: 0.0 meV/atom
data_Pu3Si2Pd
_space_group_name_H-M_alt 'P 1 21/c 1'
_space_group_IT_number 14
_cell_length_a 8.184
_cell_length_b 7.772
_cell_length_c 8.673
_cell_angle_alpha 90.00
_cell_angle_beta 120.48
_cell_angle_gamma 90.00
loop_
_space_group_symop_operation_xyz
'x,y,z'
'-x,-y,-z'
'-x,y+1/2,-z+1/2'
'x,-y+1/2,z+1/2'
loop_
_atom_site_label
_atom_site_type_symbol
_atom_site_fract_x
_atom_site_fract_y
_atom_site_fract_z
_atom_site_occupancy
Pu1 Pu 0.103 0.002 0.292 1
Pu2 Pu 0.238 0.511 0.256 1
Pu3 Pu 0.354 0.696 0.521 1
Si1 Si 0.007 0.249 0.501 1
Si2 Si 0.498 0.045 0.631 1
Pd1 Pd 0.339 0.178 0.118 1


(6)
# Mg2NiW, relaxed, DFT PBE-GGA
# **Density**: 7.7 Mg/m³
# **E_tot**: -5.119 eV per atom
# **N(E_F)**: 0.91 states/eV per atom
# **ΔH_f (0 K)**: 1.449 eV/f.u.
# **Volume**: 15.71 Å³/atom
# **Crystal system**: monoclinic
# **ΔE to the lowest computed polymorph**: 253.2 meV/atom
data_Mg2NiW
_space_group_name_H-M_alt 'P 1 2/m 1'
_space_group_IT_number 10
_cell_length_a 2.711
_cell_length_b 4.468
_cell_length_c 5.325
_cell_angle_alpha 90.00
_cell_angle_beta 102.98
_cell_angle_gamma 90.00
loop_
_space_group_symop_operation_xyz
'x,y,z'
'-x,-y,-z'
'-x,y,-z'
'x,-y,z'
loop_
_atom_site_label
_atom_site_type_symbol
_atom_site_fract_x
_atom_site_fract_y
_atom_site_fract_z
_atom_site_occupancy
Mg1 Mg 0.178 0.000 0.258 1
Ni1 Ni 0.000 0.500 0.500 1
W1 W 0.500 0.500 0.000 1


(7)
# LaSeNF2, relaxed, DFT PBE-GGA
# **Density**: 4.1 Mg/m³
# **E_tot**: -5.413 eV per atom
# **N(E_F)**: 0.94 states/eV per atom
# **E_form (uncorrected)**: -6.59 eV per formula unit
# **Volume**: 21.89 Å³/atom
# **Crystal system**: tetragonal
# **ΔE to the lowest computed polymorph**: 0.0 meV/atom
data_LaSeNF2
_space_group_name_H-M_alt 'P 4/m m m'
_space_group_IT_number 123
_space_group_name_Hall '-P 4 2'
_cell_length_a 4.529
_cell_length_b 4.529
_cell_length_c 5.337
_cell_angle_alpha 90.00
_cell_angle_beta 90.00
_cell_angle_gamma 90.00
loop_
_atom_site_label
_atom_site_type_symbol
_atom_site_fract_x
_atom_site_fract_y
_atom_site_fract_z
_atom_site_occupancy
La1 La 0.000 0.000 0.000 1
Se1 Se 0.500 0.500 0.500 1
N1 N 0.000 0.000 0.500 1
F1 F 0.000 0.500 0.000 1


(8)
# ZrMn2Au, relaxed, DFT PBE-GGA
# **Density**: 10.2 Mg/m³
# **E_tot**: -7.565 eV per atom
# **N(E_F)**: 0.74 states/eV per atom
# **ΔH_f (0 K)**: -0.095 eV/f.u.
# **Volume**: 16.22 Å³/atom
# **Crystal system**: cubic
# **ΔE to the lowest computed polymorph**: 87.0 meV/atom
data_ZrMn2Au
_space_group_name_H-M_alt 'F m -3 m'
_space_group_IT_number 225
_space_group_name_Hall '-F 4 2 3'
_cell_length_a 6.379
_cell_length_b 6.379
_cell_length_c 6.379
_cell_angle_alpha 90.00
_cell_angle_beta 90.00
_cell_angle_gamma 90.00
loop_
_atom_site_label
_atom_site_type_symbol
_atom_site_fract_x
_atom_site_fract_y
_atom_site_fract_z
_atom_site_occupancy
Zr1 Zr 0.000 0.000 0.000 1
Mn1 Mn 0.250 0.250 0.250 1
Au1 Au 0.000 0.000 0.500 1


(9)
# PaAs12Ir4, relaxed, DFT PBE-GGA
# **Density**: 9.6 Mg/m³
# **E_tot**: -6.317 eV per atom
# **N(E_F)**: 0.50 states/eV per atom
# **ΔH_f (0 K)**: -6.658 eV/f.u.
# **Volume**: 19.28 Å³/atom
# **Crystal system**: cubic
data_PaAs12Ir4
_space_group_name_H-M_alt 'I m -3'
_space_group_IT_number 204
_space_group_name_Hall '-I 2 2 3'
_cell_length_a 8.687
_cell_length_b 8.687
_cell_length_c 8.687
_cell_angle_alpha 90.00
_cell_angle_beta 90.00
_cell_angle_gamma 90.00
loop_
_atom_site_label
_atom_site_type_symbol
_atom_site_fract_x
_atom_site_fract_y
_atom_site_fract_z
_atom_site_occupancy
Pa1 Pa 0.000 0.000 0.000 1
As1 As 0.000 0.338 0.142 1
Ir1 Ir 0.250 0.250 0.250 1


(10)
# Pr7PtBr12, relaxed, DFT PBE-GGA
# **Density**: 4.8 Mg/m³
# **E_tot**: -4.644 eV per atom
# **N(E_F)**: 0.20 states/eV per atom
# **E_form (uncorrected)**: -33.31 eV per formula unit
# **Volume**: 36.77 Å³/atom
# **Crystal system**: trigonal
data_Pr7PtBr12
_space_group_name_H-M_alt 'R -3'
_space_group_IT_number 148
_space_group_name_Hall '-R 3'
_cell_length_a 15.5849
_cell_length_b 15.5849
_cell_length_c 10.4889
_cell_angle_alpha 90.00
_cell_angle_beta 90.00
_cell_angle_gamma 120.00
loop_
_atom_site_label
_atom_site_type_symbol
_atom_site_fract_x
_atom_site_fract_y
_atom_site_fract_z
_atom_site_occupancy
Pr1 Pr 0.0000 0.0000 0.0000 1
Pr2 Pr 0.0413 0.8754 0.3440 1
Pt1 Pt 0.0000 0.0000 0.5000 1
Br1 Br 0.0266 0.4425 0.1597 1
Br2 Br 0.0454 0.8680 0.8415 1


(11)
# HoS8I2, relaxed, DFT PBE-GGA
# **Density**: 2.6 Mg/m³
# **E_tot**: -3.784 eV per atom
# **N(E_F)**: 0.49 states/eV per atom
# **E_form (uncorrected)**: -0.93 eV per formula unit
# **Volume**: 38.61 Å³/atom
# **Crystal system**: monoclinic
data_HoS8I2
_space_group_name_H-M_alt 'C 1 2/m 1'
_space_group_IT_number 12
_cell_length_a 16.088
_cell_length_b 6.132
_cell_length_c 11.713
_cell_angle_alpha 90.00
_cell_angle_beta 132.68
_cell_angle_gamma 90.00
loop_
_space_group_symop_operation_xyz
'x,y,z'
'-x,-y,-z'
'-x,y,-z'
'x,-y,z'
'x+1/2,y+1/2,z'
'-x+1/2,-y+1/2,-z'
'-x+1/2,y+1/2,-z'
'x+1/2,-y+1/2,z'
loop_
_atom_site_label
_atom_site_type_symbol
_atom_site_fract_x
_atom_site_fract_y
_atom_site_fract_z
_atom_site_occupancy
Ho1 Ho 0.000 0.000 0.000 1
S1 S 0.021 0.500 0.839 1
S2 S 0.119 0.261 0.267 1
S3 S 0.219 0.500 0.276 1
I1 I 0.126 0.000 0.901 1


(12)
# YTi3Hg, relaxed, DFT PBE-GGA
# **Density**: 6.2 Mg/m³
# **E_tot**: -4.673 eV per atom
# **N(E_F)**: 1.52 states/eV per atom
# **ΔH_f (0 K)**: 7.083 eV/f.u.
# **Volume**: 23.09 Å³/atom
# **Crystal system**: cubic
# **ΔE to the lowest computed polymorph**: 559.6 meV/atom
data_YTi3Hg
_space_group_name_H-M_alt 'P m -3 m'
_space_group_IT_number 221
_space_group_name_Hall '-P 4 2 3'
_cell_length_a 4.869
_cell_length_b 4.869
_cell_length_c 4.869
_cell_angle_alpha 90.00
_cell_angle_beta 90.00
_cell_angle_gamma 90.00
loop_
_atom_site_label
_atom_site_type_symbol
_atom_site_fract_x
_atom_site_fract_y
_atom_site_fract_z
_atom_site_occupancy
Y1 Y 0.000 0.000 0.000 1
Ti1 Ti 0.000 0.000 0.500 1
Hg1 Hg 0.500 0.500 0.500 1